This record from the Alexandria database describes Dy3Sb4Au3 after structural relaxation. The functional is PBE.

Lattice parameters (Å, degrees): 9.940 9.940 9.940 90.00 90.00 90.00
Space group I-43d (No. 220)
Symmetry-distinct sites (fractional):
1 Dy 0.000 0.250 0.875 [12 per cell]
2 Sb 0.089 0.411 0.589 [16 per cell]
3 Au 0.000 0.250 0.375 [12 per cell]

This record from the Alexandria database describes DySbAu4 after structural relaxation. The functional is PBE.

Lattice parameters (Å, degrees): 7.995 7.995 7.995 90.00 90.00 90.00
Space group F-43m (No. 216)
Symmetry-distinct sites (fractional):
1 Dy 0.000 0.000 0.000 [4 per cell]
2 Sb 0.250 0.250 0.250 [4 per cell]
3 Au 0.125 0.125 0.625 [16 per cell]

This record from the Alexandria database describes DySb2Au after structural relaxation. The functional is PBE.

Lattice parameters (Å, degrees): 5.5455 5.5455 11.5899 90.00 90.00 120.00
Space group R-3m (No. 166, hexagonal axes)
Symmetry-distinct sites (fractional):
1 Dy 0.0000 0.0000 0.0000 [3 per cell]
2 Sb 0.0000 0.0000 0.2673 [6 per cell]
3 Au 0.0000 0.0000 0.5000 [3 per cell]

| no. | formation energy without anion corrections (eV/f.u.) | spin magnetization (μB per atom) |
| --- | --- | --- |
| 1 | -8.16 | 0.00 |
| 2 | -2.37 | 0.00 |
| 3 | -1.18 | 0.00 |